DFT (PBE) results for Mn2CuRe after structural relaxation.

Results
The calculation puts the energy of formation from the pure elements at 0.9 eV/f.u. The density of states at the Fermi level is 3.4 states/eV per cell. As for the polymorph energy (0 for the lowest one): 97 meV/atom.

a b c (Å): 2.8175 2.8175 6.4770
angles (deg): 90.00 90.00 90.00
Last column: nearest neighbours and their distance in Å.
Space group P4mm (No. 99)
Unique sites:
Mn  0.0000  0.0000  0.0000 (multiplicity 1)  8 Mn 2.52-2.82, 4 Cu 2.54
Mn  0.5000  0.5000  0.2379 (multiplicity 1)  4 Re 2.50, 4 Mn 2.52
Cu  0.5000  0.5000  0.7556 (multiplicity 1)  4 Mn 2.54, 4 Re 2.71, 4 Cu 2.82
Re  0.0000  0.0000  0.4720 (multiplicity 1)  4 Mn 2.50, 4 Cu 2.71